# 1
VASP calculation (PBE-GGA) on Pm6Ga3C after structural relaxation.

Cell: 6.4542 8.1487 11.7093 Å, 90.00 119.09 90.00°
Last column: nearest neighbours and their distance in Å.
Sites, in units of the cell vectors:
Pm (0.0901, 0.0484, 0.2300)  1 C 2.49
Pm (0.0901, 0.4516, 0.7300)  1 C 2.49
Pm (0.1791, 0.7086, 0.0617)  1 C 2.59
Pm (0.1791, 0.7914, 0.5617)  1 C 2.59
Pm (0.3906, 0.1510, 0.0581)  1 C 2.58
Pm (0.3906, 0.3490, 0.5581)  1 C 2.58
Pm (0.6094, 0.6510, 0.4419)  1 C 2.58
Pm (0.6094, 0.8490, 0.9419)  1 C 2.58
Pm (0.8209, 0.2086, 0.4383)  1 C 2.59
Pm (0.8209, 0.2914, 0.9383)  1 C 2.59
Pm (0.9099, 0.5484, 0.2700)  1 C 2.49
Pm (0.9099, 0.9516, 0.7700)  1 C 2.49
Ga (0.3189, 0.1139, 0.7388)  6 Pm 3.05-3.27
Ga (0.3189, 0.3861, 0.2388)  6 Pm 3.05-3.27
Ga (0.5000, 0.0000, 0.5000)  6 Pm 3.00-3.08
Ga (0.5000, 0.5000, 0.0000)  6 Pm 3.00-3.08
Ga (0.6811, 0.6139, 0.7612)  6 Pm 3.05-3.27
Ga (0.6811, 0.8861, 0.2612)  6 Pm 3.05-3.27
C (0.0000, 0.0000, 0.0000)  6 Pm 2.49-2.59
C (0.0000, 0.5000, 0.5000)  6 Pm 2.49-2.59

Results
- DFT total energy (eV per atom) = -5.016
- ρ (g/cm³) = 6.734
- crystal system = monoclinic
- total moment (Bohr magnetons per cell) = 0.00
- energy of formation from the pure elements (eV/atom) = -0.336

---

# 2
VASP calculation (PBE-GGA) on KBe2Pt after structural relaxation.

Cell: 4.5871 4.5871 4.5871 Å, 60.00 60.00 60.00°
Last column: nearest neighbours and their distance in Å.
Sites, in units of the cell vectors:
K (0.0000, 0.0000, 0.0000)  4 Be 2.81, 4 Pt 2.81
Be (0.2500, 0.2500, 0.2500)  4 K 2.81, 4 Be 2.81
Be (0.5000, 0.5000, 0.5000)  4 Be 2.81, 4 Pt 2.81
Pt (0.7500, 0.7500, 0.7500)  4 K 2.81, 4 Be 2.81

Results
- DFT total energy (eV per atom) = -2.720
- ρ (g/cm³) = 6.136
- crystal system = cubic
- total moment (Bohr magnetons per cell) = 0.00
- energy of formation from the pure elements (eV/atom) = 0.927